Compound: CsZrSe2
Source: the Alexandria database
Functional: GGA-PBE
Structure: optimized geometry

Values from the calculation:
Formation energy from raw total energies ... -1275 meV/atom
DFT total energy ... -5.3674 eV/atom
Crystal system ... monoclinic
Calculated volume ... 270 Å³/cell

abc: 3.840 7.745 9.594
angles: 108.89 90.00 90.00
Fractional positions:
Zr: 0.250 0.617 0.144
Zr: 0.750 0.383 0.856
Se: 0.750 0.741 0.990
Se: 0.750 0.688 0.353
Se: 0.250 0.259 0.010
Se: 0.250 0.312 0.647
Cs: 0.750 0.183 0.313
Cs: 0.250 0.817 0.687